VASP calculation (GGA-PBE) on Pr6Cd5Hg after structural relaxation.

```
12
Lattice="8.666 -3.889 0.000 8.666 3.889 0.000 -1.724 0.000 5.200" Properties=species:S:1:pos:R:3 pbc="T T T"
Pr 5.222 1.955 1.739
Pr 8.666 1.963 0.000
Pr 10.386 1.955 3.462
Pr 5.222 -1.955 1.739
Pr 8.666 -1.963 0.000
Pr 10.386 -1.955 3.462
Cd 2.660 0.000 0.888
Cd 4.333 0.000 4.330
Cd 7.804 0.000 2.600
Cd 11.275 0.000 0.871
Cd 12.948 0.000 4.312
Hg -0.862 0.000 2.600
```

Properties
The density of states at the Fermi level comes out at 14.1 states/eV/cell. As for the space-group type: C2/m. Its formation energy from the elements is -398 kJ/mol of formula units.

VASP calculation (GGA-PBE) on PrCdHg4 after structural relaxation.

```
12
Lattice="7.363 -4.227 0.000 7.363 4.227 0.000 -1.231 0.000 5.123" Properties=species:S:1:pos:R:3 pbc="T T T"
Pr 2.791 0.000 0.671
Pr 10.704 0.000 4.452
Cd 6.229 0.000 1.221
Cd 7.265 0.000 3.902
Hg 4.932 2.570 2.111
Hg 7.363 2.620 0.000
Hg 8.562 2.570 3.012
Hg 4.060 0.000 3.657
Hg 9.434 0.000 1.466
Hg 4.932 -2.570 2.111
Hg 7.363 -2.620 0.000
Hg 8.562 -2.570 3.012
```

Properties
The density of states at the Fermi level comes out at 4.7 states/eV/cell. As for the space-group type: C2/m. Its formation energy from the elements is -112 kJ/mol of formula units.

VASP calculation (GGA-PBE) on Pr4Cd2Hg after structural relaxation.

```
7
Lattice="3.860 -5.404 0.000 3.860 5.404 0.000 0.000 0.000 5.376" Properties=species:S:1:pos:R:3 pbc="T T T"
Pr 1.930 2.702 2.688
Pr 1.882 0.000 0.000
Pr 1.930 -2.702 2.688
Pr 5.838 0.000 0.000
Cd 3.860 2.663 0.000
Cd 3.860 -2.663 0.000
Hg 3.860 0.000 2.688
```

Properties
The density of states at the Fermi level comes out at 9.8 states/eV/cell. As for the space-group type: Cmmm. Its formation energy from the elements is -142 kJ/mol of formula units.

VASP calculation (GGA-PBE) on PrCd7Hg12 after structural relaxation.

```
20
Lattice="-5.438 5.438 5.438 5.438 -5.438 5.438 5.438 5.438 -5.438" Properties=species:S:1:pos:R:3 pbc="T T T"
Pr 0.000 0.000 0.000
Cd 2.719 2.719 -2.719
Cd 2.719 -2.719 2.719
Cd 5.438 0.000 0.000
Cd -2.719 2.719 2.719
Cd 0.000 5.438 0.000
Cd 0.000 0.000 5.438
Cd 2.719 2.719 2.719
Hg 5.438 -2.455 3.794
Hg 2.983 1.644 0.000
Hg 7.893 1.644 0.000
Hg 3.794 5.438 -2.455
Hg 1.644 0.000 2.983
Hg 0.000 2.983 1.644
Hg 5.438 2.455 3.794
Hg 3.794 5.438 2.455
Hg 1.644 0.000 7.893
Hg -2.455 3.794 5.438
Hg 2.455 3.794 5.438
Hg 0.000 7.893 1.644
```

Properties
The density of states at the Fermi level comes out at 8.8 states/eV/cell. As for the space-group type: Im-3. Its formation energy from the elements is 147 kJ/mol of formula units.

VASP calculation (GGA-PBE) on PrCd4Hg after structural relaxation.

```
6
Lattice="5.052 0.000 0.000 -2.526 4.375 0.000 0.000 0.000 6.735" Properties=species:S:1:pos:R:3 pbc="T T T"
Pr 0.000 0.000 0.000
Cd 0.000 2.917 1.702
Cd 0.000 2.917 5.033
Cd 2.526 1.458 1.702
Cd 2.526 1.458 5.033
Hg 0.000 0.000 3.367
```

Properties
The density of states at the Fermi level comes out at 3.1 states/eV/cell. As for the space-group type: P6/mmm. Its formation energy from the elements is -129 kJ/mol of formula units.

VASP calculation (GGA-PBE) on Pr4Cd5Hg after structural relaxation.

```
10
Lattice="8.243 -2.612 0.000 8.243 2.612 0.000 -2.051 0.000 6.471" Properties=species:S:1:pos:R:3 pbc="T T T"
Pr 0.805 0.000 2.484
Pr 4.785 0.000 1.155
Pr 9.649 0.000 5.316
Pr 13.629 0.000 3.988
Cd -0.297 0.000 5.922
Cd 3.474 0.000 4.417
Cd 8.243 0.000 0.000
Cd 10.960 0.000 2.054
Cd 14.731 0.000 0.549
Hg 7.217 0.000 3.236
```

Properties
The density of states at the Fermi level comes out at 8.1 states/eV/cell. As for the space-group type: C2/m. Its formation energy from the elements is -316 kJ/mol of formula units.

VASP calculation (GGA-PBE) on Pr6CdHg5 after structural relaxation.

```
12
Lattice="5.459 0.000 0.000 0.000 7.752 0.000 -2.702 0.000 8.202" Properties=species:S:1:pos:R:3 pbc="T T T"
Pr 0.000 1.922 0.000
Pr 0.000 5.830 0.000
Pr 0.012 1.940 5.450
Pr 0.012 5.812 5.450
Pr 2.745 1.940 2.753
Pr 2.745 5.812 2.753
Cd 2.729 3.876 0.000
Hg 0.018 3.876 2.680
Hg 0.018 0.000 2.722
Hg 2.729 0.000 0.000
Hg 2.739 0.000 5.480
Hg 2.739 3.876 5.523
```

Properties
The density of states at the Fermi level comes out at 12.7 states/eV/cell. As for the space-group type: P2/m. Its formation energy from the elements is -517 kJ/mol of formula units.

VASP calculation (GGA-PBE) on Pr3CdHg2 after structural relaxation.

```
6
Lattice="3.874 0.000 0.000 0.000 3.874 0.000 0.000 0.000 11.606" Properties=species:S:1:pos:R:3 pbc="T T T"
Pr 0.000 0.000 0.000
Pr 0.000 0.000 3.850
Pr 0.000 0.000 7.757
Cd 1.937 1.937 5.803
Hg 1.937 1.937 1.951
Hg 1.937 1.937 9.655
```

Properties
The density of states at the Fermi level comes out at 7.1 states/eV/cell. As for the space-group type: P4/mmm. Its formation energy from the elements is -242 kJ/mol of formula units.

VASP calculation (GGA-PBE) on PrCd2Hg8 after structural relaxation.

```
11
Lattice="4.875 -6.581 0.000 4.875 6.581 0.000 -0.015 0.000 4.592" Properties=species:S:1:pos:R:3 pbc="T T T"
Pr 0.000 0.000 0.000
Cd 4.867 1.505 2.296
Cd 4.867 -1.505 2.296
Hg 1.738 1.834 2.303
Hg 4.875 3.354 0.000
Hg 1.738 -1.834 2.303
Hg 3.202 0.000 0.006
Hg 6.533 0.000 4.586
Hg 7.997 1.834 2.289
Hg 4.875 -3.354 0.000
Hg 7.997 -1.834 2.289
```

Properties
The density of states at the Fermi level comes out at 4.9 states/eV/cell. As for the space-group type: C2/m. Its formation energy from the elements is -112 kJ/mol of formula units.

VASP calculation (GGA-PBE) on PrCd5Hg7 after structural relaxation.

```
13
Lattice="-3.150 5.056 4.953 3.150 -5.056 4.953 3.150 5.056 -4.953" Properties=species:S:1:pos:R:3 pbc="T T T"
Pr 0.000 0.000 0.000
Cd 1.585 -2.521 2.482
Cd 4.715 -2.521 2.482
Cd 1.585 2.521 2.482
Cd 4.715 2.521 2.482
Cd 0.000 5.056 2.644
Hg 3.150 1.941 -0.025
Hg 3.150 0.000 2.284
Hg 0.000 3.433 0.029
Hg 0.000 0.000 3.492
Hg 0.000 0.000 6.492
Hg 0.000 6.680 0.029
Hg 0.000 3.116 4.928
```

Properties
The density of states at the Fermi level comes out at 5.7 states/eV/cell. As for the space-group type: Imm2. Its formation energy from the elements is -103 kJ/mol of formula units.

VASP calculation (GGA-PBE) on PrCd2Hg3 after structural relaxation.

```
6
Lattice="2.417 -6.967 0.000 2.417 6.967 0.000 0.000 0.000 4.531" Properties=species:S:1:pos:R:3 pbc="T T T"
Pr 0.000 0.000 0.000
Cd 2.417 2.428 0.000
Cd 2.417 -2.428 0.000
Hg 2.417 4.646 2.266
Hg 2.417 0.000 2.266
Hg 2.417 -4.646 2.266
```

Properties
The density of states at the Fermi level comes out at 3.2 states/eV/cell. As for the space-group type: Cmmm. Its formation energy from the elements is -133 kJ/mol of formula units.

VASP calculation (GGA-PBE) on Pr2CdHg12 after structural relaxation.

```
30
Lattice="6.993 0.000 0.000 0.000 6.993 0.000 0.000 0.000 16.693" Properties=species:S:1:pos:R:3 pbc="T T T"
Pr 1.748 5.245 3.962
Pr 1.748 5.245 12.731
Pr 5.245 1.748 3.962
Pr 5.245 1.748 12.731
Cd 1.748 5.245 0.000
Cd 5.245 1.748 0.000
Hg 6.991 0.002 1.604
Hg 0.002 6.991 15.088
Hg 0.002 3.499 1.604
Hg 6.991 3.494 15.088
Hg 0.692 4.188 7.125
Hg 0.692 6.301 9.568
Hg 1.748 1.748 3.259
Hg 1.748 1.748 6.029
Hg 1.748 1.748 10.664
Hg 1.748 1.748 13.433
Hg 2.805 4.188 9.568
Hg 2.805 6.301 7.125
Hg 3.494 6.991 1.604
Hg 3.499 0.002 15.088
Hg 3.499 3.494 1.604
Hg 3.494 3.499 15.088
Hg 4.188 0.692 9.568
Hg 4.188 2.805 7.125
Hg 5.245 5.245 3.259
Hg 5.245 5.245 6.029
Hg 5.245 5.245 10.664
Hg 5.245 5.245 13.433
Hg 6.301 0.692 7.125
Hg 6.301 2.805 9.568
```

Properties
The density of states at the Fermi level comes out at 13.3 states/eV/cell. As for the space-group type: P4/nbm. Its formation energy from the elements is -135 kJ/mol of formula units.

VASP calculation (GGA-PBE) on Pr3CdHg4 after structural relaxation.

```
8
Lattice="-1.920 3.642 8.513 1.920 -3.642 8.513 1.920 3.642 -8.513" Properties=species:S:1:pos:R:3 pbc="T T T"
Pr 0.000 0.000 0.000
Pr 1.920 0.000 4.899
Pr 0.000 3.642 3.614
Cd 0.000 0.000 8.513
Hg 1.920 1.566 -2.136
Hg 1.920 1.566 2.136
Hg 0.000 2.077 6.377
Hg 0.000 2.077 10.650
```

Properties
The density of states at the Fermi level comes out at 3.6 states/eV/cell. As for the space-group type: Immm. Its formation energy from the elements is -245 kJ/mol of formula units.

VASP calculation (GGA-PBE) on Pr3Cd8Hg3 after structural relaxation.

```
14
Lattice="-2.468 5.060 7.078 2.468 -5.060 7.078 2.468 5.060 -7.078" Properties=species:S:1:pos:R:3 pbc="T T T"
Pr 0.000 0.000 0.000
Pr 0.000 0.000 4.248
Pr 0.000 0.000 9.908
Cd 2.468 -1.370 2.279
Cd 2.468 -2.249 5.086
Cd 2.468 1.370 2.279
Cd 0.000 2.811 1.992
Cd 2.468 2.249 5.086
Cd 0.000 3.690 4.800
Cd 0.000 7.309 1.992
Cd 0.000 6.431 4.800
Hg 2.468 3.147 0.000
Hg 0.000 5.060 0.000
Hg 0.000 1.913 7.078
```

Properties
The density of states at the Fermi level comes out at 9.2 states/eV/cell. As for the space-group type: Immm. Its formation energy from the elements is -342 kJ/mol of formula units.

VASP calculation (GGA-PBE) on Pr4CdHg after structural relaxation.

```
6
Lattice="2.695 -6.536 0.000 2.695 6.536 0.000 0.000 0.000 5.393" Properties=species:S:1:pos:R:3 pbc="T T T"
Pr 2.695 4.553 0.000
Pr 2.695 2.006 2.696
Pr 2.695 -2.006 2.696
Pr 2.695 -4.553 0.000
Cd 0.000 0.000 2.696
Hg 2.695 0.000 0.000
```

Properties
The density of states at the Fermi level comes out at 7.4 states/eV/cell. As for the space-group type: Cmmm. Its formation energy from the elements is -145 kJ/mol of formula units.

VASP calculation (GGA-PBE) on PrCd4Hg after structural relaxation.

```
6
Lattice="0.000 4.231 4.231 4.231 0.000 4.231 4.231 4.231 0.000" Properties=species:S:1:pos:R:3 pbc="T T T"
Pr 0.000 0.000 0.000
Cd 3.172 3.172 3.172
Cd 5.289 5.289 3.172
Cd 5.289 3.172 5.289
Cd 3.172 5.289 5.289
Hg 6.346 6.346 6.346
```

Properties
The density of states at the Fermi level comes out at 4.5 states/eV/cell. As for the space-group type: F-43m. Its formation energy from the elements is -65 kJ/mol of formula units.

VASP calculation (GGA-PBE) on Pr4CdHg2Pt after structural relaxation.

```
8
Lattice="2.698 1.558 8.748 -2.698 1.558 8.748 0.000 -3.115 8.748" Properties=species:S:1:pos:R:3 pbc="T T T"
Pr 0.000 0.000 3.009
Pr 0.000 0.000 9.658
Pr 0.000 0.000 16.585
Pr 0.000 0.000 23.233
Cd 0.000 0.000 13.121
Hg 0.000 0.000 6.259
Hg 0.000 0.000 19.983
Pt 0.000 0.000 0.000
```

Properties
The density of states at the Fermi level comes out at 7.1 states/eV/cell. As for the space-group type: R-3m. Its formation energy from the elements is -446 kJ/mol of formula units.

VASP calculation (GGA-PBE) on PrPuCdHg after structural relaxation.

```
4
Lattice="0.000 3.830 3.830 3.830 0.000 3.830 3.830 3.830 0.000" Properties=species:S:1:pos:R:3 pbc="T T T"
Pr 0.000 0.000 0.000
Pu 3.830 3.830 3.830
Cd 5.745 5.745 5.745
Hg 1.915 1.915 1.915
```

Properties
The density of states at the Fermi level comes out at 11.8 states/eV/cell. As for the space-group type: F-43m. Its formation energy from the elements is -70 kJ/mol of formula units.

VASP calculation (GGA-PBE) on Pr4CdHg2Rh after structural relaxation.

```
8
Lattice="2.696 1.557 8.663 -2.696 1.557 8.663 0.000 -3.114 8.663" Properties=species:S:1:pos:R:3 pbc="T T T"
Pr 0.000 0.000 2.939
Pr 0.000 0.000 9.558
Pr 0.000 0.000 16.430
Pr 0.000 0.000 23.049
Cd 0.000 0.000 12.994
Hg 0.000 0.000 6.193
Hg 0.000 0.000 19.795
Rh 0.000 0.000 0.000
```

Properties
The density of states at the Fermi level comes out at 6.4 states/eV/cell. As for the space-group type: R-3m. Its formation energy from the elements is -365 kJ/mol of formula units.

VASP calculation (GGA-PBE) on PrCdHgRh after structural relaxation.

```
4
Lattice="0.000 3.555 3.555 3.555 0.000 3.555 3.555 3.555 0.000" Properties=species:S:1:pos:R:3 pbc="T T T"
Pr 0.000 0.000 0.000
Cd 3.555 3.555 3.555
Hg 1.777 1.777 1.777
Rh 5.332 5.332 5.332
```

Properties
The density of states at the Fermi level comes out at 2.8 states/eV/cell. As for the space-group type: F-43m. Its formation energy from the elements is -116 kJ/mol of formula units.

VASP calculation (GGA-PBE) on Pr4CdHg2Ru after structural relaxation.

```
8
Lattice="2.694 1.556 8.661 -2.694 1.556 8.661 0.000 -3.111 8.661" Properties=species:S:1:pos:R:3 pbc="T T T"
Pr 0.000 0.000 2.906
Pr 0.000 0.000 9.522
Pr 0.000 0.000 16.460
Pr 0.000 0.000 23.076
Cd 0.000 0.000 12.991
Hg 0.000 0.000 6.182
Hg 0.000 0.000 19.800
Ru 0.000 0.000 0.000
```

Properties
The density of states at the Fermi level comes out at 6.0 states/eV/cell. As for the space-group type: R-3m. Its formation energy from the elements is -271 kJ/mol of formula units.

VASP calculation (GGA-PBE) on PrCdHgSb after structural relaxation.

```
4
Lattice="0.000 3.798 3.798 3.798 0.000 3.798 3.798 3.798 0.000" Properties=species:S:1:pos:R:3 pbc="T T T"
Pr 0.000 0.000 0.000
Cd 3.798 3.798 3.798
Hg 1.899 1.899 1.899
Sb 5.697 5.697 5.697
```

Properties
The density of states at the Fermi level comes out at 4.1 states/eV/cell. As for the space-group type: F-43m. Its energy is -2.8891 eV/atom.